1.
Compound: ScAgSeS
Source: Alexandria via LeMat-Bulk
Functional: GGA-PBE
Structure: optimized geometry

```
4
Lattice="-1.212 2.128 2.988 1.301 -3.529 0.616 6.206 2.257 0.125" Properties=species:S:1:pos:R:3 pbc="T T T"
Sc 5.833 0.674 1.209
Ag 2.726 -0.528 0.678
Se 3.516 1.984 1.809
S 0.513 -0.855 3.412
```

Summary:
Magnetization = 0.0 μB per formula unit
ΔE_f (raw) = -1.142 eV per atom
Density = 5.20 g/cm3

2.
Compound: Sc3SiAg3S8
Source: Alexandria via LeMat-Bulk
Functional: GGA-PBE
Structure: optimized geometry

```
15
Lattice="7.409 0.000 0.000 -3.705 6.416 -0.001 0.000 -4.233 6.404" Properties=species:S:1:pos:R:3 pbc="T T T"
Sc 3.705 -2.116 3.202
Sc 1.852 1.092 3.202
Sc -1.852 1.092 3.202
Si 0.000 -2.116 3.202
Ag 0.000 0.000 0.000
Ag -1.852 3.208 0.000
Ag 1.852 3.208 0.000
S 0.000 2.161 1.801
S 3.705 0.022 4.602
S 3.705 2.358 1.852
S 0.000 -0.175 4.551
S 5.730 -1.147 1.855
S -2.026 3.330 4.548
S 1.679 -1.147 1.855
S 2.026 3.330 4.548
```

Summary:
Magnetization = 0.0 μB per formula unit
ΔE_f (raw) = -1.016 eV per atom
Density = 4.05 g/cm3